Entry from OQMD via LeMat-Bulk: a relaxed structure of Tm3Zr3CuTe2 (PBE).

Results
total magnetic moment: 0.039 μB/atom
E: -6.03 eV per atom
symmetry: P-62m (189)

The structure in POSCAR format:
```
Tm3Zr3CuTe2
1.0
7.892 0.000 0.000
-3.946 6.834 0.000
0.000 0.000 3.984
Tm Zr Cu Te
3 3 1 2
Direct
0.000 0.602 0.000 Tm
0.398 0.398 0.000 Tm
0.602 0.000 0.000 Tm
0.000 0.233 0.500 Zr
0.233 0.000 0.500 Zr
0.767 0.767 0.500 Zr
0.000 0.000 0.000 Cu
0.333 0.667 0.500 Te
0.667 0.333 0.500 Te
```